Cs4Ac3ScTe8: optimized geometry, PBE.

POSCAR file:
```
Cs4Ac3ScTe8
1.0
4.780 2.760 8.970
-4.780 2.760 8.970
0.000 -5.520 8.970
Cs Ac Sc Te
4 3 1 8
direct
0.000 0.000 0.000
0.000 0.500 0.500
0.500 0.000 0.500
0.500 0.500 0.000
0.000 0.000 0.500
0.000 0.500 0.000
0.500 0.000 0.000
0.500 0.500 0.500
0.236 0.236 0.236
0.257 0.717 0.717
0.283 0.283 0.743
0.283 0.743 0.283
0.717 0.257 0.717
0.717 0.717 0.257
0.743 0.283 0.283
0.764 0.764 0.764
```

Summary:
Crystal system: trigonal
Total moment (μB per atom): 0.00
V (Å³/atom): 44.38
Symmetry: R-3m
ΔE_f (raw) (kJ/mol of atoms): -136.1